# 1
# CaHo2ZrO6, optimized geometry, DFT PBE
# Uncorrected formation energy = -328 kJ per mole of atoms
# DOS(E_F) = 0.00 states/eV/cell
data_CaHo2ZrO6
_chemical_formula_sum 'Ca3 Ho6 Zr3 O18'
_cell_length_a 5.7305
_cell_length_b 5.7305
_cell_length_c 15.0829
_cell_angle_alpha 90.00
_cell_angle_beta 90.00
_cell_angle_gamma 120.00
_space_group_name_H-M_alt 'R 3'
_space_group_IT_number 146
_space_group_name_Hall 'R 3'
loop_
_atom_site_label
_atom_site_type_symbol
_atom_site_fract_x
_atom_site_fract_y
_atom_site_fract_z
Ca1 Ca 0.0000 0.0000 0.0000
Ho1 Ho 0.0000 0.0000 0.2188
Ho2 Ho 0.0000 0.0000 0.7206
Zr1 Zr 0.0000 0.0000 0.5093
O1 O 0.0121 0.3667 0.7823
O2 O 0.0605 0.6803 0.2761

# 2
# CaHo2Os, optimized geometry, DFT PBE
# E_form = -0.160 eV per atom
# Energy relative to the lowest polymorph listed for this composition = 0.000 eV/atom
# DOS(E_F) = 2.69 states/eV/cell
data_CaHo2Os
_chemical_formula_sum 'Ca1 Ho2 Os1'
_cell_length_a 3.416
_cell_length_b 3.416
_cell_length_c 9.634
_cell_angle_alpha 90.00
_cell_angle_beta 90.00
_cell_angle_gamma 90.00
_space_group_name_H-M_alt 'P 4/m m m'
_space_group_IT_number 123
_space_group_name_Hall '-P 4 2'
loop_
_atom_site_label
_atom_site_type_symbol
_atom_site_fract_x
_atom_site_fract_y
_atom_site_fract_z
Ca1 Ca 0.000 0.000 0.000
Ho1 Ho 0.500 0.500 0.330
Os1 Os 0.000 0.000 0.500

# 3
# CaHo2Os, optimized geometry, DFT PBE
# E_form = 0.169 eV per atom
# Energy relative to the lowest polymorph listed for this composition = 0.329 eV/atom
# DOS(E_F) = 7.92 states/eV/cell
data_CaHo2Os
_chemical_formula_sum 'Ca3 Ho6 Os3'
_cell_length_a 3.9027
_cell_length_b 3.9027
_cell_length_c 31.4270
_cell_angle_alpha 90.00
_cell_angle_beta 90.00
_cell_angle_gamma 120.00
_space_group_name_H-M_alt 'R -3 m'
_space_group_IT_number 166
_space_group_name_Hall '-R 3 2"'
loop_
_atom_site_label
_atom_site_type_symbol
_atom_site_fract_x
_atom_site_fract_y
_atom_site_fract_z
Ca1 Ca 0.0000 0.0000 0.0000
Ho1 Ho 0.0000 0.0000 0.1177
Os1 Os 0.0000 0.0000 0.5000

# 4
# CaHoOs4, optimized geometry, DFT PBE
# E_form = -0.073 eV per atom
# DOS(E_F) = 27.11 states/eV/cell
data_CaHoOs4
_chemical_formula_sum 'Ca4 Ho4 Os16'
_cell_length_a 7.565
_cell_length_b 7.565
_cell_length_c 7.565
_cell_angle_alpha 90.00
_cell_angle_beta 90.00
_cell_angle_gamma 90.00
_space_group_name_H-M_alt 'F -4 3 m'
_space_group_IT_number 216
_space_group_name_Hall 'F -4 2 3'
loop_
_atom_site_label
_atom_site_type_symbol
_atom_site_fract_x
_atom_site_fract_y
_atom_site_fract_z
Ca1 Ca 0.000 0.000 0.000
Ho1 Ho 0.250 0.250 0.750
Os1 Os 0.125 0.125 0.375

# 5
# CaHo5P6, optimized geometry, DFT PBE
# E_form = -1.482 eV per atom
# DOS(E_F) = 7.46 states/eV/cell
data_CaHo5P6
_chemical_formula_sum 'Ca2 Ho10 P12'
_cell_length_a 6.935
_cell_length_b 12.024
_cell_length_c 6.953
_cell_angle_alpha 90.00
_cell_angle_beta 109.43
_cell_angle_gamma 90.00
_space_group_name_H-M_alt 'C 1 2/m 1'
_space_group_IT_number 12
loop_
_space_group_symop_operation_xyz
'x,y,z'
'-x,-y,-z'
'-x,y,-z'
'x,-y,z'
'x+1/2,y+1/2,z'
'-x+1/2,-y+1/2,-z'
'-x+1/2,y+1/2,-z'
'x+1/2,-y+1/2,z'
loop_
_atom_site_label
_atom_site_type_symbol
_atom_site_fract_x
_atom_site_fract_y
_atom_site_fract_z
Ca1 Ca 0.000 0.000 0.000
Ho1 Ho 0.000 0.165 0.500
Ho2 Ho 0.000 0.333 0.000
Ho3 Ho 0.000 0.500 0.500
P1 P 0.244 0.500 0.254
P2 P 0.245 0.330 0.747

# 6
# CaHo2P, optimized geometry, DFT PBE
# E_form = -0.591 eV per atom
# DOS(E_F) = 14.59 states/eV/cell
data_CaHo2P
_chemical_formula_sum 'Ca3 Ho6 P3'
_cell_length_a 3.8129
_cell_length_b 3.8129
_cell_length_c 30.3655
_cell_angle_alpha 90.00
_cell_angle_beta 90.00
_cell_angle_gamma 120.00
_space_group_name_H-M_alt 'R -3 m'
_space_group_IT_number 166
_space_group_name_Hall '-R 3 2"'
loop_
_atom_site_label
_atom_site_type_symbol
_atom_site_fract_x
_atom_site_fract_y
_atom_site_fract_z
Ca1 Ca 0.0000 0.0000 0.0000
Ho1 Ho 0.0000 0.0000 0.1147
P1 P 0.0000 0.0000 0.5000

# 7
# CaHoP, optimized geometry, DFT PBE
# E_form = -0.683 eV per atom
# DOS(E_F) = 11.72 states/eV/cell
data_CaHoP
_chemical_formula_sum 'Ca4 Ho4 P4'
_cell_length_a 13.372
_cell_length_b 3.939
_cell_length_c 6.819
_cell_angle_alpha 90.00
_cell_angle_beta 90.00
_cell_angle_gamma 90.00
_space_group_name_H-M_alt 'A m m 2'
_space_group_IT_number 38
loop_
_space_group_symop_operation_xyz
'x,y,z'
'-x,-y,z'
'-x,y,z'
'x,-y,z'
'x,y+1/2,z+1/2'
'-x,-y+1/2,z+1/2'
'-x,y+1/2,z+1/2'
'x,-y+1/2,z+1/2'
loop_
_atom_site_label
_atom_site_type_symbol
_atom_site_fract_x
_atom_site_fract_y
_atom_site_fract_z
Ca1 Ca 0.123 0.000 0.000
Ho1 Ho 0.374 0.000 0.666
P1 P 0.000 0.000 0.667
P2 P 0.500 0.000 0.999

# 8
# CaHoP, optimized geometry, DFT PBE
# E_form = -0.878 eV per atom
# DOS(E_F) = 1.57 states/eV/cell
data_CaHoP
_chemical_formula_sum 'Ca1 Ho1 P1'
_cell_length_a 3.9924
_cell_length_b 3.9924
_cell_length_c 6.5653
_cell_angle_alpha 90.00
_cell_angle_beta 90.00
_cell_angle_gamma 120.00
_space_group_name_H-M_alt 'P 3 m 1'
_space_group_IT_number 156
loop_
_space_group_symop_operation_xyz
'x,y,z'
'-y,x-y,z'
'-x+y,-x,z'
'-y,-x,z'
'-x+y,y,z'
'x,x-y,z'
loop_
_atom_site_label
_atom_site_type_symbol
_atom_site_fract_x
_atom_site_fract_y
_atom_site_fract_z
Ca1 Ca 0.0000 0.0000 0.0000
Ho1 Ho 0.3333 0.6667 0.5134
P1 P 0.6667 0.3333 0.7328

# 9
# Ca2HoP3Pt12, optimized geometry, DFT PBE
# E_form = -0.428 eV per atom
# DOS(E_F) = 18.12 states/eV/cell
data_Ca2HoP3Pt12
_chemical_formula_sum 'Ca6 Ho3 P9 Pt36'
_cell_length_a 8.3500
_cell_length_b 8.3500
_cell_length_c 17.5629
_cell_angle_alpha 90.00
_cell_angle_beta 90.00
_cell_angle_gamma 120.00
_space_group_name_H-M_alt 'R -3 m'
_space_group_IT_number 166
_space_group_name_Hall '-R 3 2"'
loop_
_atom_site_label
_atom_site_type_symbol
_atom_site_fract_x
_atom_site_fract_y
_atom_site_fract_z
Ca1 Ca 0.0000 0.0000 0.0953
Ho1 Ho 0.0000 0.0000 0.5000
P1 P 0.0000 0.5000 0.0000
Pt1 Pt 0.0271 0.5135 0.8699
Pt2 Pt 0.0404 0.5202 0.3596

# 10
# CaHo2PuP4, optimized geometry, DFT PBE
# E_form = -1.315 eV per atom
# DOS(E_F) = 12.02 states/eV/cell
data_CaHo2PuP4
_chemical_formula_sum 'Ca1 Ho2 Pu1 P4'
_cell_length_a 6.928
_cell_length_b 4.025
_cell_length_c 6.947
_cell_angle_alpha 90.00
_cell_angle_beta 109.14
_cell_angle_gamma 90.00
_space_group_name_H-M_alt 'P 1 2/m 1'
_space_group_IT_number 10
loop_
_space_group_symop_operation_xyz
'x,y,z'
'-x,-y,-z'
'-x,y,-z'
'x,-y,z'
loop_
_atom_site_label
_atom_site_type_symbol
_atom_site_fract_x
_atom_site_fract_y
_atom_site_fract_z
Ca1 Ca 0.000 0.000 0.000
Ho1 Ho 0.000 0.500 0.500
Ho2 Ho 0.500 0.000 0.500
Pu1 Pu 0.500 0.500 0.000
P1 P 0.258 0.000 0.750
P2 P 0.262 0.500 0.253

# 11
# Ca2HoP3Rh12, optimized geometry, DFT PBE
# E_form = -0.298 eV per atom
# DOS(E_F) = 53.24 states/eV/cell
data_Ca2HoP3Rh12
_chemical_formula_sum 'Ca6 Ho3 P9 Rh36'
_cell_length_a 8.8866
_cell_length_b 8.8866
_cell_length_c 12.7561
_cell_angle_alpha 90.00
_cell_angle_beta 90.00
_cell_angle_gamma 120.00
_space_group_name_H-M_alt 'R -3 m'
_space_group_IT_number 166
_space_group_name_Hall '-R 3 2"'
loop_
_atom_site_label
_atom_site_type_symbol
_atom_site_fract_x
_atom_site_fract_y
_atom_site_fract_z
Ca1 Ca 0.0000 0.0000 0.1158
Ho1 Ho 0.0000 0.0000 0.5000
P1 P 0.0000 0.5000 0.0000
Rh1 Rh 0.0133 0.5066 0.8249
Rh2 Rh 0.0366 0.5183 0.3830

# 12
# CaHoP2S8, optimized geometry, DFT PBE
# Uncorrected formation energy = -71 kJ per mole of atoms
# DOS(E_F) = 12.51 states/eV/cell
data_CaHoP2S8
_chemical_formula_sum 'Ca1 Ho1 P2 S8'
_cell_length_a 5.9730
_cell_length_b 5.9730
_cell_length_c 9.0425
_cell_angle_alpha 90.00
_cell_angle_beta 90.00
_cell_angle_gamma 120.00
_space_group_name_H-M_alt 'P -3'
_space_group_IT_number 147
loop_
_space_group_symop_operation_xyz
'x,y,z'
'-x,-y,-z'
'-y,x-y,z'
'y,-x+y,-z'
'-x+y,-x,z'
'x-y,x,-z'
loop_
_atom_site_label
_atom_site_type_symbol
_atom_site_fract_x
_atom_site_fract_y
_atom_site_fract_z
Ca1 Ca 0.0000 0.0000 0.0000
Ho1 Ho 0.0000 0.0000 0.5000
P1 P 0.3333 0.6667 0.7637
S1 S 0.9998 0.3375 0.7025
S2 S 0.3333 0.6667 0.9890

What did the seventh record say?
# CaHoP, optimized geometry, DFT PBE
# E_form = -0.683 eV per atom
# DOS(E_F) = 11.72 states/eV/cell
data_CaHoP
_chemical_formula_sum 'Ca4 Ho4 P4'
_cell_length_a 13.372
_cell_length_b 3.939
_cell_length_c 6.819
_cell_angle_alpha 90.00
_cell_angle_beta 90.00
_cell_angle_gamma 90.00
_space_group_name_H-M_alt 'A m m 2'
_space_group_IT_number 38
loop_
_space_group_symop_operation_xyz
'x,y,z'
'-x,-y,z'
'-x,y,z'
'x,-y,z'
'x,y+1/2,z+1/2'
'-x,-y+1/2,z+1/2'
'-x,y+1/2,z+1/2'
'x,-y+1/2,z+1/2'
loop_
_atom_site_label
_atom_site_type_symbol
_atom_site_fract_x
_atom_site_fract_y
_atom_site_fract_z
Ca1 Ca 0.123 0.000 0.000
Ho1 Ho 0.374 0.000 0.666
P1 P 0.000 0.000 0.667
P2 P 0.500 0.000 0.999

Q: Number 1 is which compound?
A: CaHo2ZrO6

Q: Which value of DOS(E_F) does entry 5 give?
A: 7.46 states/eV/cell